Entry 1:
This record from the Alexandria database describes a geometry-optimized NbAlP3 structure. The functional is PBE-GGA.

Output
ΔE_f ... 0.870 eV/atom
Offset from the most stable computed form ... 2.126 eV per formula unit

a b c (Å): 4.534 4.534 4.534
angles (deg): 90.00 90.00 90.00
Space group Pm-3m (No. 221)
Symmetry-distinct sites (fractional):
Nb: 0.000 0.000 0.000 (multiplicity 1)
Al: 0.500 0.500 0.500 (multiplicity 1)
P: 0.000 0.500 0.500 (multiplicity 3)

=====

Entry 2:
This record from the Alexandria database describes a geometry-optimized ZnCdAg5 structure. The functional is PBE-GGA.

Output
ΔE_f ... 0.462 eV/atom
Offset from the most stable computed form ... 2.937 eV per formula unit

a b c (Å): 7.516 9.312 5.399
angles (deg): 90.00 90.00 90.00
Space group Imm2 (No. 44)
Symmetry-distinct sites (fractional):
Zn: 0.000 0.000 0.000 (multiplicity 2)
Cd: 0.000 0.500 0.794 (multiplicity 2)
Ag: 0.000 0.214 0.310 (multiplicity 4)
Ag: 0.000 0.500 0.306 (multiplicity 2)
Ag: 0.181 0.000 0.572 (multiplicity 4)

=====

Entry 3:
This record from the Alexandria database describes a geometry-optimized CeTaNiN3 structure. The functional is PBE-GGA.

Output
E_form (uncorrected) ... -0.946 eV/atom

a b c (Å): 6.686 3.204 7.119
angles (deg): 90.00 104.77 90.00
Space group P2_1/m (No. 11)
Symmetry-distinct sites (fractional):
Ce: 0.197 0.250 0.226 (multiplicity 2)
Ta: 0.329 0.750 0.836 (multiplicity 2)
Ni: 0.115 0.250 0.588 (multiplicity 2)
N: 0.118 0.250 0.870 (multiplicity 2)
N: 0.243 0.750 0.520 (multiplicity 2)
N: 0.441 0.750 0.147 (multiplicity 2)

=====

Entry 4:
This record from the Alexandria database describes a geometry-optimized AcCuP3 structure. The functional is PBE-GGA.

Output
ΔE_f ... -0.251 eV/atom

a b c (Å): 4.662 4.662 4.662
angles (deg): 90.00 90.00 90.00
Space group Pm-3m (No. 221)
Symmetry-distinct sites (fractional):
Ac: 0.000 0.000 0.000 (multiplicity 1)
Cu: 0.500 0.500 0.500 (multiplicity 1)
P: 0.000 0.500 0.500 (multiplicity 3)

=====

Entry 5:
This record from the Alexandria database describes a geometry-optimized N structure. The functional is PBE-GGA.

Output
E_form (uncorrected) ... 1.049 eV/atom
Offset from the most stable computed form ... 1.049 eV per formula unit

a b c (Å): 11.240 5.937 2.176
angles (deg): 90.00 90.00 90.00
Space group Cmcm (No. 63)
Symmetry-distinct sites (fractional):
N: 0.000 0.060 0.250 (multiplicity 4)
N: 0.175 0.440 0.250 (multiplicity 8)

=====

Entry 6:
This record from the Alexandria database describes a geometry-optimized Zr4PO structure. The functional is PBE-GGA.

Output
E_form (uncorrected) ... -1.225 eV/atom

a b c (Å): 8.058 8.058 7.073
angles (deg): 90.00 90.00 90.00
Space group I4_1md (No. 109)
Symmetry-distinct sites (fractional):
Zr: 0.000 0.196 0.000 (multiplicity 8)
Zr: 0.000 0.215 0.462 (multiplicity 8)
P: 0.000 0.000 0.719 (multiplicity 4)
O: 0.000 0.000 0.243 (multiplicity 4)